# 1
Density functional theory data (PBE) for FeCoAs4 after structural relaxation.

Calculated values
Total magnetic moment = 0.1 μB/cell
SG = P2/m, No. 10
DFT formation energy = -0.29 eV/atom
Calculated volume = 93 Å³/f.u.

Lattice parameters (Å, degrees): 2.9716 5.2442 5.9588 89.92 90.00 90.00
Last column: magnetic moment on the atom in μB.
Element x y z (fractional)
Fe1 0.0000 0.0000 0.0000  0.36
Co1 0.5000 0.5000 0.5000  -0.17
As1 0.5000 0.3173 0.1371  -0.01
As2 0.5000 0.6827 0.8629  -0.01
As3 0.0000 0.8181 0.3613  -0.01
As4 0.0000 0.1819 0.6387  -0.01

---

# 2
Density functional theory data (PBE) for Fe2CoAs after structural relaxation.

Calculated values
Total magnetic moment = 6.1 μB/cell
SG = C2/m, No. 12
DFT formation energy = 0.08 eV/atom
Calculated volume = 49 Å³/f.u.

Lattice parameters (Å, degrees): 5.6781 4.3138 2.8196 89.91 60.38 119.78
Last column: magnetic moment on the atom in μB.
Element x y z (fractional)
As1 0.0000 0.5000 0.5000  -0.05
Co1 0.5000 0.5000 0.0000  1.40
Fe1 0.0000 0.0000 0.0000  2.39
Fe2 0.5000 0.0000 0.5000  2.39

---

| no. | DFT total energy (eV/atom) |
| --- | --- |
| 1 | -5.979 |
| 2 | -7.088 |